1.
This record from the Alexandria database describes an optimized crystal structure of SmCo4B. The functional is PBE-GGA.

```
SmCo4B
1.0
5.057 0.000 0.000
-2.528 4.379 0.000
0.000 0.000 6.841
B Co Sm
2 8 2
Cartesian
0.000 2.920 3.420
2.528 1.460 3.420
2.528 1.460 0.000
0.000 2.920 0.000
1.264 2.190 4.866
2.528 0.000 4.866
-1.264 2.190 4.866
1.264 2.190 1.975
2.528 0.000 1.975
-1.264 2.190 1.975
0.000 0.000 3.420
0.000 0.000 0.000
```

=====

2.
This record from the Alexandria database describes an optimized crystal structure of SmCo12B4. The functional is PBE-GGA.

```
SmCo12B4
1.0
-2.612 5.416 -1.836
-1.386 -4.509 -4.155
-2.241 -1.598 5.652
Sm Co B
1 12 4
Cartesian
0.000 0.000 0.000
-2.982 2.622 -2.011
-2.033 -0.794 -1.791
-3.907 2.668 1.418
-2.961 -0.180 3.319
-2.333 -3.359 -1.757
-4.207 0.102 1.452
-2.394 1.478 0.229
-3.845 -2.170 -0.568
-3.279 -0.511 -3.658
-4.112 0.720 -1.545
-2.127 -1.411 1.206
-3.258 -3.314 1.673
-0.693 -2.255 -2.078
-1.306 2.708 -0.918
-3.120 -0.346 -0.169
-1.121 -0.799 2.826
```

=====

3.
This record from the Alexandria database describes an optimized crystal structure of SmCo5B2. The functional is PBE-GGA.

```
SmCo5B2
1.0
-2.461 -1.664 -1.707
2.426 -3.849 -3.183
-0.477 -5.077 2.198
Sm Co B
1 5 2
Cartesian
0.000 0.000 0.000
0.975 -4.463 -0.492
-0.415 -3.908 -2.470
-0.097 -6.683 -0.222
0.991 -6.222 -2.239
-1.503 -4.368 -0.452
-0.455 -7.825 -2.031
-0.056 -2.765 -0.661
```

=====

4.
This record from the Alexandria database describes an optimized crystal structure of SmCo3B2. The functional is PBE-GGA.

```
SmCo3B2
1.0
3.296 0.000 0.000
0.000 7.385 -4.263
0.000 0.000 8.527
Sm Co B
3 9 6
Cartesian
1.648 0.000 0.000
0.000 4.923 0.000
0.000 2.461 4.263
1.648 3.692 2.132
1.648 0.000 4.263
1.648 3.692 -2.132
0.000 5.269 3.042
0.000 0.000 2.442
0.000 2.115 -1.221
0.000 2.115 1.221
0.000 0.000 6.084
0.000 5.269 -3.042
1.648 6.017 -1.894
1.648 2.735 0.000
1.648 6.017 1.894
1.648 1.368 6.158
1.648 4.649 4.263
1.648 1.368 2.369
```

Results
The value obtained for the energy above the most stable polymorph in this dataset is 212 meV/atom.

=====

5.
This record from the Alexandria database describes an optimized crystal structure of SmCo12B6. The functional is PBE-GGA.

```
SmCo12B6
1.0
5.967 0.000 0.000
-1.443 5.790 0.000
-1.443 -1.847 5.487
Sm Co B
1 12 6
Cartesian
0.000 0.000 0.000
-1.181 4.098 2.744
1.540 -0.833 4.759
4.262 2.650 0.729
1.540 4.776 0.729
-1.181 1.293 4.759
4.262 -0.155 2.744
1.280 3.707 2.976
1.280 1.638 4.463
3.287 2.138 2.976
1.801 0.236 2.512
1.801 2.305 1.026
-0.206 1.805 2.512
3.006 0.463 4.215
3.006 3.847 1.783
-0.278 3.028 4.215
0.075 3.481 1.273
0.075 0.096 3.705
3.359 0.915 1.273
```

=====

6.
This record from the Alexandria database describes an optimized crystal structure of Sm3Co11B4. The functional is PBE-GGA.

```
Sm3Co11B4
1.0
2.544 -4.406 0.000
2.544 4.406 0.000
0.000 0.000 9.749
Sm Co B
3 11 4
Cartesian
0.000 0.000 0.000
0.000 0.000 6.417
0.000 0.000 3.332
2.544 -1.469 0.000
2.544 1.469 0.000
2.544 0.000 4.874
1.272 -2.203 4.874
1.272 2.203 4.874
2.544 0.000 7.771
1.272 -2.203 7.771
1.272 2.203 7.771
2.544 0.000 1.978
1.272 -2.203 1.978
1.272 2.203 1.978
2.544 -1.469 6.340
2.544 1.469 6.340
2.544 1.469 3.409
2.544 -1.469 3.409
```

=====

7.
This record from the Alexandria database describes an optimized crystal structure of Sm3CoB7. The functional is PBE-GGA.

```
Sm3CoB7
1.0
3.466 0.000 0.000
-1.733 8.045 0.000
0.000 0.000 9.522
Sm Co B
6 2 14
Cartesian
0.000 1.677 4.170
1.733 6.368 5.353
0.000 3.930 7.142
1.733 4.114 2.381
0.000 1.677 0.592
1.733 6.368 8.931
1.733 7.136 2.381
0.000 0.909 7.142
0.000 7.495 7.142
1.733 0.550 2.381
0.000 7.655 3.801
1.733 0.390 5.721
1.733 0.390 8.562
0.000 7.655 0.960
0.000 5.944 3.295
1.733 2.101 6.228
0.000 4.385 4.461
1.733 3.660 5.062
1.733 3.660 9.222
0.000 4.385 0.301
0.000 5.944 1.466
1.733 2.101 8.056
```

=====

8.
This record from the Alexandria database describes an optimized crystal structure of SmCo2B2. The functional is PBE-GGA.

```
SmCo2B2
1.0
5.490 0.003 0.000
3.168 4.484 0.000
-4.329 -2.244 2.523
Sm Co B
1 2 2
Cartesian
0.000 0.000 0.000
2.745 0.002 1.262
1.584 2.242 1.262
5.698 2.953 0.000
2.960 1.534 0.000
```

=====

9.
This record from the Alexandria database describes an optimized crystal structure of SmCo3B2. The functional is PBE-GGA.

```
SmCo3B2
1.0
-2.581 -2.767 3.004
3.237 -4.243 -1.124
2.319 2.474 4.272
Sm Co B
2 6 4
Cartesian
1.283 -1.306 1.844
1.692 -3.230 4.308
-0.169 -4.012 1.989
-0.562 -1.138 4.298
3.143 -0.523 4.163
-1.654 -2.165 2.413
4.629 -2.370 3.739
3.536 -3.397 1.854
1.764 -4.292 1.450
3.055 -2.907 -0.051
2.501 1.139 3.199
1.211 -0.244 4.702
```

Results
The value obtained for the energy above the most stable polymorph in this dataset is 243 meV/atom.

=====

10.
This record from the Alexandria database describes an optimized crystal structure of SmCoB3. The functional is PBE-GGA.

```
SmCoB3
1.0
3.902 0.000 0.000
0.000 5.498 0.000
0.000 0.000 5.517
Sm Co B
2 2 6
Cartesian
1.951 0.000 0.000
1.951 2.749 2.758
0.000 2.749 0.000
0.000 0.000 2.758
1.951 2.749 0.000
1.951 0.000 2.758
0.000 4.123 1.380
0.000 1.374 1.378
0.000 1.375 4.137
0.000 4.124 4.139
```

=====

11.
This record from the Alexandria database describes an optimized crystal structure of SmCo4B4. The functional is PBE-GGA.

```
SmCo4B4
1.0
-5.764 -3.925 0.760
3.409 -5.522 -2.663
1.132 -0.986 3.492
Sm Co B
2 8 8
Cartesian
0.000 0.000 0.000
-0.612 -5.216 0.795
-0.715 -3.169 3.029
0.380 -8.036 1.301
1.393 -6.669 -0.710
-2.860 -3.551 1.548
1.235 -3.032 1.257
-2.215 -7.612 1.083
1.404 -4.069 -1.158
-3.516 -5.590 0.007
-2.221 -6.890 -0.793
0.103 -2.763 -0.381
-3.131 -5.527 1.955
2.144 -5.111 0.364
-0.745 -7.773 -0.316
-0.714 -2.453 1.175
-2.113 -4.600 3.091
1.785 -6.612 1.260
```

Results
The value obtained for the energy above the most stable polymorph in this dataset is 0 meV/atom.

=====

12.
This record from the Alexandria database describes an optimized crystal structure of SmCo6B3. The functional is PBE-GGA.

```
SmCo6B3
1.0
-2.772 -0.148 -4.285
-2.060 -1.551 4.313
1.482 5.265 2.430
Sm Co B
1 6 3
Cartesian
-3.357 3.106 2.314
-0.616 2.998 2.182
-1.594 0.527 2.512
-1.864 0.950 -2.050
-1.562 2.300 4.259
-1.733 2.474 -0.083
-2.816 0.185 0.178
-1.232 4.430 0.854
-0.620 4.070 3.940
0.127 2.050 0.612
```

=====

13.
This record from the Alexandria database describes an optimized crystal structure of Sm2Co3TcB12. The functional is PBE-GGA.

```
Sm2Co3TcB12
1.0
-3.630 7.315 -1.621
-6.255 4.923 2.440
-1.579 7.449 3.367
Sm Co Tc B
2 3 1 12
Cartesian
-7.316 12.563 2.671
-4.148 7.123 1.515
-1.815 3.657 -0.811
-3.128 2.461 1.220
-0.790 3.725 1.683
0.000 0.000 0.000
-3.402 4.342 0.359
-9.955 14.107 1.875
-8.662 14.192 5.020
-2.752 4.384 1.938
-7.007 15.700 2.459
-1.922 5.141 0.652
-8.063 15.345 3.827
-1.510 5.579 2.310
-2.803 5.495 -0.835
-8.712 15.302 2.248
-4.458 3.986 1.726
-9.543 14.545 3.534
```

=====

14.
This record from the Alexandria database describes an optimized crystal structure of Co2SnB. The functional is PBE-GGA.

```
Co2SnB
1.0
6.233 0.000 0.000
0.000 6.233 0.000
3.117 3.117 2.565
B Co Sn
2 4 2
Cartesian
3.117 3.117 0.000
3.117 6.233 1.282
4.070 1.558 0.641
2.164 4.675 0.641
4.675 5.280 1.924
7.792 7.187 1.924
0.000 0.000 0.000
6.233 3.117 1.282
```

Results
The value obtained for the energy above the most stable polymorph in this dataset is 0 meV/atom.

=====

15.
This record from the Alexandria database describes an optimized crystal structure of Co21Sn2B6. The functional is PBE-GGA.

```
Co21Sn2B6
1.0
-6.355 -0.880 -3.829
0.221 -1.971 -7.203
-2.198 -6.833 -2.072
Co Sn B
21 2 6
Cartesian
0.000 0.000 0.000
-4.113 -2.817 -7.104
-5.223 -5.049 -4.749
-2.205 -5.550 -6.298
-5.122 -5.954 -8.055
-4.219 -6.868 -5.999
-3.108 -4.636 -8.354
-6.127 -4.135 -6.805
-3.210 -3.731 -5.048
-0.735 -2.286 -0.693
-4.964 -2.871 -3.241
-0.588 -3.598 -5.487
-4.155 -1.245 -4.957
0.074 -0.659 -2.409
-1.389 -5.207 -3.788
-1.979 -1.606 -6.074
-3.588 -4.842 -2.659
-2.126 -0.294 -1.281
-1.463 -4.548 -1.379
0.147 -1.312 -4.794
-4.229 -0.585 -2.548
-6.249 -7.263 -9.827
-2.083 -2.421 -3.276
-5.047 -3.951 -8.557
-2.202 -3.557 -6.843
-5.146 -3.068 -5.333
-3.285 -5.734 -4.546
-6.130 -6.127 -6.260
-3.186 -6.616 -7.770
```

=====

16.
This record from the Alexandria database describes an optimized crystal structure of Co2SnB. The functional is PBE-GGA.

```
Co2SnB
1.0
0.000 2.875 2.875
2.875 0.000 2.875
2.875 2.875 0.000
B Co Sn
1 2 1
Cartesian
0.000 0.000 0.000
1.438 1.438 1.438
4.313 4.313 4.313
2.875 2.875 2.875
```

Results
The value obtained for the energy above the most stable polymorph in this dataset is 405 meV/atom.

=====

17.
This record from the Alexandria database describes an optimized crystal structure of Co10SnB3. The functional is PBE-GGA.

```
Co10SnB3
1.0
-3.731 6.380 -0.903
-2.454 3.752 5.945
3.170 6.467 1.891
Co Sn B
20 2 6
Cartesian
1.055 2.152 0.629
-0.816 1.248 1.978
-1.242 2.123 -0.300
-3.306 5.505 1.376
-1.161 6.395 2.671
-0.141 7.276 4.676
-2.287 8.117 5.399
-1.435 6.409 0.027
0.293 9.362 3.539
-2.873 9.323 2.257
-3.308 7.236 3.394
2.115 4.315 1.261
-2.879 4.626 3.667
-0.582 4.655 4.596
1.299 5.563 3.240
-2.490 4.257 -0.603
-1.853 10.203 4.262
-1.637 2.503 3.967
-0.727 8.482 1.534
0.874 6.438 0.961
-0.754 4.150 1.733
-2.261 12.449 5.200
-3.604 9.121 4.173
-1.083 10.338 2.355
-0.510 9.159 5.425
0.589 7.478 2.760
-2.504 7.439 1.508
-1.931 6.261 4.578
```

=====

18.
This record from the Alexandria database describes an optimized crystal structure of CoSnB3. The functional is PBE-GGA.

```
CoSnB3
1.0
3.939 0.000 0.000
0.000 3.939 0.000
0.000 0.000 3.939
B Co Sn
3 1 1
Cartesian
0.000 1.969 0.000
0.000 0.000 1.969
1.969 0.000 0.000
0.000 0.000 0.000
1.969 1.969 1.969
```

Results
The value obtained for the energy above the most stable polymorph in this dataset is 0 meV/atom.

=====

19.
This record from the Alexandria database describes an optimized crystal structure of CoSnB2. The functional is PBE-GGA.

```
CoSnB2
1.0
3.673 0.000 0.000
0.000 3.673 0.000
1.836 1.836 7.197
B Co Sn
4 2 2
Cartesian
1.836 0.918 1.799
1.836 2.755 1.799
2.755 3.673 5.398
4.591 3.673 5.398
1.836 1.836 0.000
1.836 3.673 3.598
0.000 0.000 0.000
3.673 1.836 3.598
```

=====

Across the entries above, DFT total energy takes the values -6.89; -6.75; -6.93; -6.78; -7.19; -6.93; -6.62; -6.98; -6.74; -6.20; -7.14; -6.96; -6.66; -6.11; -6.98; -5.70; -6.94; -5.24; -5.78 eV/atom, respectively.